First-principles (PBE) data for a relaxed Li2AlCd2GaPd2 crystal, as listed in OQMD.

Cell lengths 4.485, 4.485, 6.335 Å; angles 90.00, 90.00, 90.00 degrees
Fractional positions:
1 Li 0.000 0.500 0.247
2 Li 0.500 0.000 0.753
3 Al 0.000 0.000 0.500
4 Cd 0.000 0.000 0.000
5 Cd 0.500 0.500 0.500
6 Ga 0.500 0.500 0.000
7 Pd 0.000 0.500 0.745
8 Pd 0.500 0.000 0.255

Summary:
* space group: P-4m2
* final energy: -26.42 eV/cell



First-principles (PBE) data for a relaxed CsCu3Te4Pd crystal, as listed in OQMD.

Cell lengths 6.677, 6.677, 6.677 Å; angles 90.00, 90.00, 90.00 degrees
Fractional positions:
1 Cs 0.000 0.000 0.000
2 Cu 0.000 0.500 0.500
3 Cu 0.500 0.000 0.500
4 Cu 0.500 0.500 0.000
5 Te 0.282 0.282 0.282
6 Te 0.282 0.718 0.718
7 Te 0.718 0.282 0.718
8 Te 0.718 0.718 0.282
9 Pd 0.500 0.500 0.500

Summary:
* space group: P-43m
* final energy: -29.50 eV/cell



First-principles (PBE) data for a relaxed Ba3YIr2O9 crystal, as listed in OQMD.

Cell lengths 5.898, 5.898, 14.652 Å; angles 90.00, 90.00, 119.92 degrees
Fractional positions:
1 Ba 0.000 0.000 0.250
2 Ba 0.000 0.000 0.750
3 Ba 0.333 0.667 0.592
4 Ba 0.333 0.667 0.908
5 Ba 0.667 0.333 0.092
6 Ba 0.667 0.333 0.408
7 Y 0.000 0.000 0.000
8 Y 0.000 0.000 0.500
9 Ir 0.334 0.666 0.165
10 Ir 0.334 0.666 0.335
11 Ir 0.666 0.334 0.665
12 Ir 0.666 0.334 0.835
13 O 0.015 0.512 0.250
14 O 0.178 0.349 0.088
15 O 0.178 0.349 0.412
16 O 0.179 0.821 0.084
17 O 0.179 0.821 0.416
18 O 0.349 0.178 0.588
19 O 0.349 0.178 0.912
20 O 0.488 0.985 0.250
21 O 0.492 0.508 0.250
22 O 0.508 0.492 0.750
23 O 0.512 0.015 0.750
24 O 0.651 0.822 0.088
25 O 0.651 0.822 0.412
26 O 0.821 0.179 0.584
27 O 0.821 0.179 0.916
28 O 0.822 0.651 0.588
29 O 0.822 0.651 0.912
30 O 0.985 0.488 0.750

Summary:
* space group: Cmcm
* total moment: 0.0013 μB per atom
* E above lowest polymorph: 0 meV/atom



First-principles (PBE) data for a relaxed Tm2Sc2BI5 crystal, as listed in OQMD.

Cell lengths 10.488, 10.488, 8.429 Å; angles 101.34, 101.34, 21.60 degrees
Fractional positions:
1 Tm 0.000 0.000 0.195
2 Tm 0.000 0.000 0.805
3 Sc 0.385 0.385 0.943
4 Sc 0.615 0.615 0.057
5 B 0.500 0.500 0.000
6 I 0.153 0.153 0.320
7 I 0.154 0.154 0.831
8 I 0.500 0.500 0.500
9 I 0.846 0.846 0.169
10 I 0.847 0.847 0.680

Summary:
* space group: C2/m
* total moment: 0.0077 μB per atom
* final energy: -46.39 eV/cell



First-principles (PBE) data for a relaxed Gd2Y2I5N crystal, as listed in OQMD.

Cell lengths 9.742, 9.742, 8.577 Å; angles 102.33, 102.33, 23.32 degrees
Fractional positions:
1 Gd 0.001 0.001 0.310
2 Gd 0.999 0.999 0.690
3 Y 0.375 0.375 0.438
4 Y 0.625 0.625 0.562
5 I 0.164 0.164 0.839
6 I 0.167 0.167 0.322
7 I 0.500 0.500 0.000
8 I 0.833 0.833 0.678
9 I 0.836 0.836 0.161
10 N 0.500 0.500 0.500

Summary:
* space group: C2/m
* total moment: 0.0000 μB per atom
* final energy: -51.12 eV/cell



First-principles (PBE) data for a relaxed SrZnPb crystal, as listed in OQMD.

Cell lengths 7.650, 3.978, 12.197 Å; angles 90.00, 90.00, 90.00 degrees
Fractional positions:
1 Sr 0.236 0.250 0.186
2 Sr 0.264 0.750 0.686
3 Sr 0.736 0.250 0.314
4 Sr 0.764 0.750 0.814
5 Zn 0.113 0.750 0.974
6 Zn 0.387 0.250 0.474
7 Zn 0.613 0.750 0.526
8 Zn 0.887 0.250 0.026
9 Pb 0.099 0.750 0.414
10 Pb 0.401 0.250 0.914
11 Pb 0.599 0.750 0.086
12 Pb 0.901 0.250 0.586

Summary:
* space group: Pnma
* final energy: -28.33 eV/cell